ScCdPt | PBE | relaxed

**Energy relative to the elements**: -0.483 eV/atom
**Volume**: 22.38 A^3/atom
**Calculated density**: 8.72 g/cm³
**Electronic total energy**: -14.735 eV for the cell shown
**Size of the total moment**: 0.00 μB per cell

Cell: 3.6748 3.6748 5.7412 Å, 90.00 90.00 120.00°
Space group P3m1 (No. 156)
Inequivalent atoms, fractional coordinates:
Sc 0.0000 0.0000 0.0000 (multiplicity 1)
Cd 0.6667 0.3333 0.4102 (multiplicity 1)
Pt 0.3333 0.6667 0.7368 (multiplicity 1)